A relaxed CuTcTe3 crystal, computed with PBE.

The structure in POSCAR format:
```
CuTcTe3
1.0
-3.529 3.447 1.305
-0.836 -2.508 4.364
3.589 2.805 2.300
Te Cu Tc
3 1 1
Cartesian
1.795 1.402 1.150
-1.765 1.723 0.652
-0.418 -1.254 2.182
0.000 0.000 0.000
-0.388 1.871 3.984
```

Values from the calculation:
space group: Pm-3m, No. 221
energy above the lowest structure with this stoichiometry: 0.231 eV per atom
energy relative to the elements, uncorrected: 1.025 eV/atom
M_tot: 3.8 Bohr magnetons per cell
DFT total energy: -18.8 eV for the cell shown

A relaxed Ti3SnTe crystal, computed with PBE.

The structure in POSCAR format:
```
Ti3SnTe
1.0
5.013 0.000 0.000
0.000 5.013 0.000
0.000 0.000 5.013
Ti Sn Te
3 1 1
Cartesian
0.000 2.506 0.000
0.000 0.000 2.506
2.506 0.000 0.000
2.506 2.506 2.506
0.000 0.000 0.000
```

Values from the calculation:
space group: Pm-3m, No. 221
energy above the lowest structure with this stoichiometry: 0.750 eV per atom
energy relative to the elements, uncorrected: 0.536 eV/atom
M_tot: 4.0 Bohr magnetons per cell
DFT total energy: -28.1 eV for the cell shown